A plane-wave DFT calculation with PBE was carried out for an optimized crystal structure of Pr4Dy4Mg.

Cell: 9.595 6.805 11.231 Å, 90.13 64.56 66.23°
Atoms (fractional coordinates):
Mg 0.458 0.497 0.741
Pr 0.779 0.157 0.407
Mg 0.542 0.503 0.259
Dy 0.893 0.394 0.633
Dy 0.563 0.717 0.960
Pr 0.999 0.385 0.146
Pr 0.878 0.187 0.930
Pr 0.763 0.967 0.702
Pr 0.001 0.615 0.854
Dy 0.349 0.268 0.515
Dy 0.329 0.072 0.810
Dy 0.671 0.928 0.190
Pr 0.237 0.033 0.298
Pr 0.221 0.843 0.593
Pr 0.122 0.813 0.070
Dy 0.651 0.732 0.485
Dy 0.107 0.606 0.367
Dy 0.437 0.283 0.040

Computed properties:
ΔH_f (0 K) = 0.42 kcal/mol of atoms
SG = P-1 (2)
Density of states at the Fermi level = 25.996 states/eV per cell
Uncorrected energy = -77.91 eV for the cell shown

=====

A plane-wave DFT calculation with PBE was carried out for an optimized crystal structure of Pr5Dy8Mg.

Cell: 8.492 8.492 8.492 Å, 110.42 107.60 110.42°
Atoms (fractional coordinates):
Pr 0.816 0.683 0.706
Dy 0.523 0.603 0.265
Pr 0.023 0.317 0.133
Dy 0.560 0.902 0.832
Pr 0.867 0.891 0.184
Dy 0.930 0.098 0.659
Pr 0.294 0.109 0.977
Dy 0.341 0.272 0.440
Dy 0.168 0.728 0.070
Pr 0.500 0.000 0.500
Dy 0.662 0.397 0.920
Mg 0.250 0.500 0.750
Dy 0.735 0.259 0.338
Dy 0.080 0.741 0.477

Computed properties:
ΔH_f (0 K) = 5.10 kcal/mol of atoms
SG = I-4 (82)
Density of states at the Fermi level = 16.642 states/eV per cell
Uncorrected energy = -59.21 eV for the cell shown

=====

A plane-wave DFT calculation with PBE was carried out for an optimized crystal structure of Pr6Dy8Mg.

Cell: 9.124 9.124 8.698 Å, 58.37 58.37 60.00°
Atoms (fractional coordinates):
Dy 0.286 0.890 0.575
Dy 0.250 0.286 0.575
Dy 0.423 0.423 0.730
Pr 0.902 0.767 0.876
Pr 0.545 0.098 0.124
Dy 0.714 0.110 0.425
Pr 0.233 0.545 0.124
Mg 0.000 0.000 0.000
Dy 0.577 0.577 0.270
Pr 0.098 0.233 0.124
Dy 0.750 0.714 0.425
Pr 0.455 0.902 0.876
Dy 0.110 0.750 0.425
Dy 0.890 0.250 0.575
Pr 0.767 0.455 0.876

Computed properties:
ΔH_f (0 K) = 2.05 kcal/mol of atoms
SG = R-3 (148)
Density of states at the Fermi level = 21.512 states/eV per cell
Uncorrected energy = -65.76 eV for the cell shown

=====

A plane-wave DFT calculation with PBE was carried out for an optimized crystal structure of Pr12Dy7Mg.

Cell: 10.114 10.114 10.114 Å, 109.47 109.47 109.47°
Atoms (fractional coordinates):
Pr 0.497 0.248 0.249
Pr 0.503 0.752 0.751
Pr 0.249 0.001 0.752
Pr 0.751 0.999 0.248
Pr 0.249 0.497 0.248
Pr 0.752 0.249 0.001
Pr 0.248 0.249 0.497
Pr 0.751 0.503 0.752
Dy 0.500 0.500 0.000
Dy 0.500 0.500 0.500
Pr 0.248 0.751 0.999
Dy 0.500 0.000 0.000
Dy 0.000 0.500 0.500
Pr 0.999 0.248 0.751
Mg 0.000 0.000 0.000
Pr 0.752 0.751 0.503
Dy 0.000 0.000 0.500
Dy 0.500 0.000 0.500
Pr 0.001 0.752 0.249
Dy 0.000 0.500 0.000

Computed properties:
ΔH_f (0 K) = 15.41 kcal/mol of atoms
SG = Im-3 (204)
Density of states at the Fermi level = 28.226 states/eV per cell
Uncorrected energy = -77.80 eV for the cell shown

=====

A plane-wave DFT calculation with PBE was carried out for an optimized crystal structure of PrDy5Mg4.

Cell: 3.745 3.745 20.353 Å, 90.00 90.00 90.00°
Atoms (fractional coordinates):
Mg 0.000 0.000 0.595
Mg 0.000 0.000 0.782
Dy 0.500 0.500 0.878
Dy 0.500 0.500 0.122
Dy 0.500 0.500 0.312
Mg 0.000 0.000 0.405
Mg 0.000 0.000 0.218
Dy 0.500 0.500 0.688
Dy 0.500 0.500 0.500
Pr 0.000 0.000 0.000

Computed properties:
ΔH_f (0 K) = -1.30 kcal/mol of atoms
SG = P4/mmm (123)
Density of states at the Fermi level = 14.134 states/eV per cell
Uncorrected energy = -34.73 eV for the cell shown

=====

A plane-wave DFT calculation with PBE was carried out for an optimized crystal structure of Pr2Dy6Mg.

Cell: 6.532 14.543 6.532 Å, 74.53 90.94 74.53°
Atoms (fractional coordinates):
Pr 0.438 0.193 0.266
Dy 0.213 0.460 0.369
Dy 0.054 0.640 0.925
Dy 0.369 0.960 0.213
Dy 0.075 0.860 0.946
Dy 0.888 0.926 0.408
Dy 0.112 0.074 0.592
Dy 0.946 0.360 0.075
Pr 0.562 0.807 0.734
Mg 0.742 0.750 0.258
Dy 0.592 0.574 0.112
Dy 0.787 0.540 0.631
Pr 0.734 0.307 0.562
Pr 0.266 0.693 0.438
Dy 0.925 0.140 0.054
Dy 0.631 0.040 0.787
Dy 0.408 0.426 0.888
Mg 0.258 0.250 0.742

Computed properties:
ΔH_f (0 K) = 1.79 kcal/mol of atoms
SG = C2/c (15)
Density of states at the Fermi level = 25.827 states/eV per cell
Uncorrected energy = -76.13 eV for the cell shown

=====

Question: Which of these has the highest ΔH_f (0 K)?
Answer: Pr12Dy7Mg

=====

Question: Number 2 is which compound?
Answer: Pr5Dy8Mg